1.
Material: LiLaAl2Ni
Method: DFT, PBE-GGA
State: relaxed

Structure (extended XYZ):
```
5
Lattice="4.567 0.000 0.000 0.000 4.567 0.000 0.000 0.000 4.724" Properties=species:S:1:pos:R:3 pbc="T T T"
Ni 0.000 0.000 0.000
Li 0.000 0.000 2.362
Al 0.000 2.284 0.000
Al 2.284 0.000 0.000
La 2.284 2.284 2.362
```

## Properties
* symmetry: P4/mmm, No. 123
* formation energy from the elements: -0.355 eV per atom
* calculated density: 4.4 Mg/m³

2.
Material: Li12Ga6Ni
Method: DFT, PBE-GGA
State: relaxed

Structure (extended XYZ):
```
19
Lattice="-6.330 -2.227 -0.605 0.919 -4.588 4.848 -2.183 4.257 4.745" Properties=species:S:1:pos:R:3 pbc="T T T"
Li -4.120 0.490 3.355
Li -1.734 -1.007 4.944
Li -3.602 -2.669 2.893
Li -3.474 -3.049 5.633
Li -5.860 -1.551 4.043
Li -3.991 0.111 6.095
Li -5.870 -3.663 7.122
Li -2.320 -1.363 0.661
Li -0.205 -1.173 2.501
Li -1.724 1.104 1.866
Li -5.274 -1.195 8.327
Li -7.389 -1.385 6.487
Ga -2.110 1.731 4.711
Ga -6.397 0.944 4.994
Ga -2.426 -1.474 7.662
Ga -5.483 -4.289 4.277
Ga -1.197 -3.502 3.994
Ga -5.168 -1.084 1.326
Ni 0.000 0.000 0.000
```

## Properties
* symmetry: R-3, No. 148
* formation energy from the elements: -0.271 eV per atom
* calculated density: 3.0 Mg/m³

3.
Material: ZrAgAu2
Method: DFT, PBE-GGA
State: relaxed

Structure (extended XYZ):
```
8
Lattice="-1.892 4.240 1.425 -1.938 -2.183 3.920 5.251 1.239 3.286" Properties=species:S:1:pos:R:3 pbc="T T T"
Zr 2.004 -0.080 2.900
Zr -2.263 0.637 3.376
Ag 0.350 1.242 5.044
Ag -0.609 -0.686 1.232
Au 0.036 2.033 2.275
Au 2.607 2.639 3.884
Au 2.385 -0.844 5.678
Au -0.295 -1.477 4.001
```

## Properties
* symmetry: Pmmn, No. 59
* formation energy from the elements: -0.395 eV per atom
* calculated density: 13.1 Mg/m³

4.
Material: Li3TiAu12
Method: DFT, PBE-GGA
State: relaxed

Structure (extended XYZ):
```
16
Lattice="-1.517 -1.296 3.602 3.790 0.039 1.610 -2.122 15.323 4.620" Properties=species:S:1:pos:R:3 pbc="T T T"
Li -0.541 3.904 1.177
Li -1.061 7.662 2.310
Li -1.581 11.419 3.443
Ti 0.000 0.000 0.000
Au 1.137 -0.628 2.606
Au 0.603 3.225 3.768
Au 0.076 7.033 4.916
Au -0.452 10.842 6.064
Au -1.026 1.283 2.383
Au -1.556 5.115 3.538
Au -2.082 8.913 4.684
Au -2.612 12.745 5.839
Au 1.627 1.951 1.387
Au 1.097 5.782 2.542
Au 0.571 9.581 3.688
Au 0.041 13.412 4.843
```

## Properties
* symmetry: P4/mmm, No. 123
* formation energy from the elements: -0.296 eV per atom
* calculated density: 14.8 Mg/m³

5.
Material: La7Sn4H
Method: DFT, PBE-GGA
State: relaxed

Structure (extended XYZ):
```
12
Lattice="-2.884 -3.463 2.865 5.791 -3.552 6.512 -2.586 4.134 7.372" Properties=species:S:1:pos:R:3 pbc="T T T"
La 1.236 -3.448 12.007
La -0.915 0.567 4.742
La 3.683 -2.325 5.874
La -3.361 -0.556 10.875
La 0.309 -0.241 9.974
La -1.442 -1.732 1.432
La 0.012 -2.640 6.775
Sn -2.082 -0.124 7.708
Sn 2.404 -2.757 9.041
Sn -0.631 -1.067 13.006
Sn 0.953 -1.814 3.743
H 0.000 0.000 0.000
```

## Properties
* symmetry: C2/m, No. 12
* VASP energy: -5.05 eV/atom
* calculated density: 6.0 Mg/m³

6.
Material: Pm2DyHg
Method: DFT, PBE-GGA
State: relaxed

Structure (extended XYZ):
```
4
Lattice="3.695 0.000 0.000 0.000 3.695 0.000 0.000 0.000 8.930" Properties=species:S:1:pos:R:3 pbc="T T T"
Pm 0.000 0.000 6.928
Pm 0.000 0.000 2.002
Hg 1.848 1.848 0.000
Dy 1.848 1.848 4.465
```

## Properties
* symmetry: P4/mmm, No. 123
* formation energy from the elements: -0.216 eV per atom
* calculated density: 8.9 Mg/m³

7.
Material: Eu2InO
Method: DFT, PBE-GGA
State: relaxed

Structure (extended XYZ):
```
4
Lattice="3.241 0.000 0.000 0.000 3.241 0.000 0.000 0.000 8.283" Properties=species:S:1:pos:R:3 pbc="T T T"
Eu 0.000 0.000 6.764
Eu 0.000 0.000 1.519
O 1.621 1.621 0.000
In 1.621 1.621 4.142
```

## Properties
* symmetry: P4/mmm, No. 123
* calculated density: 8.3 Mg/m³
* formation energy (no corrections): -1.236 eV per atom

8.
Material: KBeZn2F8
Method: DFT, PBE-GGA
State: relaxed

Structure (extended XYZ):
```
12
Lattice="-3.707 2.199 -1.514 -1.909 0.395 4.168 3.301 7.001 1.761" Properties=species:S:1:pos:R:3 pbc="T T T"
K 1.651 3.500 0.880
Be 0.000 0.000 0.000
Zn -0.186 7.062 2.906
Zn -2.128 2.532 1.508
F -1.635 1.904 3.299
F -3.968 1.903 1.935
F -2.861 3.004 -0.269
F -0.679 7.690 1.115
F 1.654 7.691 2.479
F 0.546 6.589 4.683
F -1.462 5.708 3.046
F -0.853 3.886 1.368
```

## Properties
* symmetry: P-1, No. 2
* calculated density: 3.3 Mg/m³
* formation energy (no corrections): -2.307 eV per atom

9.
Material: CaAlZnGa
Method: DFT, PBE-GGA
State: relaxed

Structure (extended XYZ):
```
4
Lattice="4.810 0.000 0.000 2.405 4.166 0.000 2.405 1.389 3.927" Properties=species:S:1:pos:R:3 pbc="T T T"
Zn 7.215 4.166 2.946
Ca 4.810 2.777 1.964
Ga 2.405 1.389 0.982
Al 0.000 0.000 0.000
```

## Properties
* symmetry: F-43m, No. 216
* formation energy from the elements: -0.211 eV per atom
* calculated density: 4.3 Mg/m³

10.
Material: SbP2Rh
Method: DFT, PBE-GGA
State: relaxed

Structure (extended XYZ):
```
4
Lattice="-1.472 -2.641 -1.013 2.005 -2.407 3.361 -3.549 0.915 2.772" Properties=species:S:1:pos:R:3 pbc="T T T"
P 0.000 0.000 0.000
P -0.772 -0.746 3.066
Rh 0.266 -2.524 1.174
Sb -2.510 -0.863 0.879
```

## Properties
* symmetry: P4/mmm, No. 123
* calculated density: 7.1 Mg/m³
* formation energy (no corrections): 0.400 eV per atom

11.
Material: CaRe2Cl
Method: DFT, PBE-GGA
State: relaxed

Structure (extended XYZ):
```
4
Lattice="3.752 0.027 0.097 1.955 3.202 0.097 2.386 1.350 7.986" Properties=species:S:1:pos:R:3 pbc="T T T"
Re 7.789 4.407 7.666
Re 5.931 3.356 6.517
Ca 4.164 2.356 4.057
Cl 2.348 1.328 2.206
```

## Properties
* symmetry: Cm, No. 8
* calculated density: 7.9 Mg/m³
* formation energy (no corrections): 0.053 eV per atom

12.
Material: CaGd2Y
Method: DFT, PBE-GGA
State: relaxed

Structure (extended XYZ):
```
4
Lattice="3.632 0.000 0.000 0.000 3.632 0.000 0.000 0.000 10.436" Properties=species:S:1:pos:R:3 pbc="T T T"
Y 1.816 1.816 0.000
Ca 1.816 1.816 5.218
Gd 0.000 0.000 8.009
Gd 0.000 0.000 2.427
```

## Properties
* symmetry: P4/mmm, No. 123
* formation energy from the elements: 0.059 eV per atom
* calculated density: 5.3 Mg/m³

13.
Material: NiSnS2
Method: DFT, PBE-GGA
State: relaxed

Structure (extended XYZ):
```
4
Lattice="3.494 0.000 0.000 1.747 3.026 0.000 1.747 1.009 6.804" Properties=species:S:1:pos:R:3 pbc="T T T"
Ni 3.494 2.017 0.011
Sn 3.494 2.017 3.396
S 1.747 1.009 5.607
S 1.747 1.009 1.192
```

## Properties
* symmetry: R3m, No. 160
* calculated density: 5.6 Mg/m³
* formation energy (no corrections): -0.217 eV per atom

14.
Material: Ac2ErSn2
Method: DFT, PBE-GGA
State: relaxed

Structure (extended XYZ):
```
10
Lattice="6.935 0.000 0.000 0.000 8.125 0.000 -3.468 -4.063 6.733" Properties=species:S:1:pos:R:3 pbc="T T T"
Ac 3.468 2.763 4.749
Ac 0.000 1.299 1.984
Ac 3.468 6.826 1.984
Ac 0.000 -2.763 4.749
Er 5.202 4.063 0.000
Er 1.734 4.063 0.000
Sn 0.000 2.023 5.251
Sn 3.468 2.040 1.482
Sn 0.000 6.085 1.482
Sn 3.468 -2.023 5.251
```

## Properties
* symmetry: Ibam, No. 72
* formation energy from the elements: -0.528 eV per atom
* calculated density: 7.5 Mg/m³

15.
Material: CaTbSm2Tl4
Method: DFT, PBE-GGA
State: relaxed

Structure (extended XYZ):
```
8
Lattice="5.441 0.000 0.000 2.721 4.712 0.000 2.721 1.571 8.933" Properties=species:S:1:pos:R:3 pbc="T T T"
Ca 0.000 0.000 0.000
Tb 5.441 3.141 4.467
Sm 8.162 4.712 6.787
Sm 2.721 1.571 2.146
Tl 5.441 3.141 7.758
Tl 8.161 4.712 3.397
Tl 2.721 1.571 5.537
Tl 5.441 3.141 1.175
```

## Properties
* symmetry: R-3m, No. 166
* formation energy from the elements: -0.380 eV per atom
* calculated density: 9.6 Mg/m³

16.
Material: BeReRh
Method: DFT, PBE-GGA
State: relaxed

Structure (extended XYZ):
```
12
Lattice="-5.131 -1.318 -1.968 1.058 -0.204 -2.621 1.759 -8.952 1.406" Properties=species:S:1:pos:R:3 pbc="T T T"
Re -3.450 -4.912 -1.776
Re -0.847 -9.184 -1.925
Re 1.136 -5.561 -1.407
Re -1.467 -1.290 -1.258
Rh -0.985 -4.060 -0.847
Rh 1.737 -8.301 -0.951
Rh -1.329 -6.414 -2.335
Rh -4.051 -2.173 -2.231
Be -2.896 -7.845 -1.324
Be -2.010 -3.153 -2.863
Be 0.582 -2.629 -1.858
Be -0.304 -7.321 -0.319
```

## Properties
* symmetry: Pnma, No. 62
* formation energy from the elements: -0.258 eV per atom
* calculated density: 13.4 Mg/m³

17.
Material: Tl2SnB2
Method: DFT, PBE-GGA
State: relaxed

Structure (extended XYZ):
```
10
Lattice="5.977 0.000 0.000 0.000 5.977 0.000 0.000 0.000 5.851" Properties=species:S:1:pos:R:3 pbc="T T T"
Tl 1.114 4.102 2.926
Tl 4.102 4.864 2.926
Tl 4.864 1.875 2.926
Tl 1.875 1.114 2.926
B 2.409 5.398 0.000
B 5.398 3.568 0.000
B 3.568 0.579 0.000
B 0.579 2.409 0.000
Sn 0.000 0.000 0.000
Sn 2.989 2.989 0.000
```

## Properties
* symmetry: P4/mbm, No. 127
* formation energy from the elements: 0.829 eV per atom
* calculated density: 8.7 Mg/m³

18.
Material: InFe2Rh
Method: DFT, PBE-GGA
State: relaxed

Structure (extended XYZ):
```
4
Lattice="-0.212 -0.719 2.944 2.275 -2.024 -0.330 6.446 2.429 1.058" Properties=species:S:1:pos:R:3 pbc="T T T"
Fe 2.340 -1.951 -0.308
Fe 1.939 -0.405 1.608
In 4.327 0.165 0.352
Rh 6.539 0.056 2.053
```

## Properties
* symmetry: Pmm2, No. 25
* formation energy from the elements: -0.021 eV per atom
* calculated density: 9.4 Mg/m³

19.
Material: PmThMo
Method: DFT, PBE-GGA
State: relaxed

Structure (extended XYZ):
```
6
Lattice="-0.960 -2.960 3.882 5.029 -0.499 0.863 -0.625 3.328 5.576" Properties=species:S:1:pos:R:3 pbc="T T T"
Pm 2.953 0.664 6.022
Pm 0.491 -0.795 4.300
Th 3.494 0.139 2.565
Th -0.050 -0.270 7.756
Mo 3.050 -2.531 3.607
Mo 0.394 2.399 6.715
```

## Properties
* symmetry: Cmcm, No. 63
* formation energy from the elements: 0.244 eV per atom
* calculated density: 10.2 Mg/m³

20.
Material: LiPb2
Method: DFT, PBE-GGA
State: relaxed

Structure (extended XYZ):
```
3
Lattice="4.915 0.000 0.000 0.000 4.915 0.000 0.000 0.000 3.334" Properties=species:S:1:pos:R:3 pbc="T T T"
Li 0.000 0.000 0.000
Pb 0.000 2.457 1.667
Pb 2.457 0.000 1.667
```

## Properties
* symmetry: P4/mmm, No. 123
* formation energy from the elements: -0.082 eV per atom
* calculated density: 8.7 Mg/m³

Magnetization per entry: 0.000; 0.000; 0.000; 0.082; 0.000; 0.000; 3.504; 0.079; 0.000; 0.000; 0.000; 3.847; 0.000; 0.000; 0.000; 0.000; 0.000; 1.365; 0.000; 0.000 μB per atom